[1]
A relaxed structure of ErNpPbO6, computed with PBE.

Summary:
VASP energy, Ry per atom: -0.603
Raw formation energy, eV/atom: -2.55
Space-group type: P-31c

a = 5.819 Å, b = 5.819 Å, c = 10.175 Å
α = 90.00°, β = 90.00°, γ = 120.00°
Fractional positions:
Er 0.333 0.667 0.250
Er 0.667 0.333 0.750
Np 0.333 0.667 0.750
Np 0.667 0.333 0.250
Pb 0.000 0.000 0.000
Pb 0.000 0.000 0.500
O 0.028 0.383 0.644
O 0.028 0.645 0.856
O 0.355 0.383 0.856
O 0.355 0.972 0.644
O 0.383 0.028 0.144
O 0.383 0.355 0.356
O 0.617 0.645 0.644
O 0.617 0.972 0.856
O 0.645 0.028 0.356
O 0.645 0.617 0.144
O 0.972 0.355 0.144
O 0.972 0.617 0.356

***

[2]
A relaxed structure of ErNpPdO6, computed with PBE.

Summary:
VASP energy, Ry per atom: -0.596
Raw formation energy, eV/atom: -2.29
Space-group type: P-31c

a = 5.353 Å, b = 5.353 Å, c = 9.967 Å
α = 90.00°, β = 90.00°, γ = 120.00°
Fractional positions:
Er 0.000 0.000 0.000
Er 0.000 0.000 0.500
Np 0.333 0.667 0.250
Np 0.667 0.333 0.750
Pd 0.333 0.667 0.750
Pd 0.667 0.333 0.250
O 0.005 0.346 0.134
O 0.005 0.659 0.366
O 0.341 0.346 0.366
O 0.341 0.995 0.134
O 0.346 0.005 0.634
O 0.346 0.341 0.866
O 0.654 0.659 0.134
O 0.654 0.995 0.366
O 0.659 0.005 0.866
O 0.659 0.654 0.634
O 0.995 0.341 0.634
O 0.995 0.654 0.866